Entry 1:
This record from the Alexandria database describes LiSb2Br at its PBEsol-relaxed geometry. The functional is SCAN.

Structure (POSCAR):
```
LiSb2Br
1.0
4.123 0.000 0.000
-2.061 3.551 0.364
0.000 -0.859 8.122
Sb Li Br
2 1 1
direct
0.877 0.754 0.974
0.210 0.419 0.777
0.873 0.746 0.338
0.540 0.080 0.411
```

Computed properties:
Electronic total energy = -24.832 eV/atom
Uncorrected formation energy = -739 meV/atom
Space-group type = Cm

Entry 2:
This record from the Alexandria database describes Mg2PHRu at its PBEsol-relaxed geometry. The functional is SCAN.

Structure (POSCAR):
```
Mg2PHRu
1.0
3.075 0.000 0.000
0.000 5.020 0.000
0.000 0.000 5.020
Ru Mg P H
1 2 1 1
direct
0.500 0.500 0.500
0.000 0.500 0.000
0.000 0.000 0.500
0.000 0.000 0.000
0.500 0.000 0.000
```

Computed properties:
Electronic total energy = -11.296 eV/atom
Space-group type = P4/mmm

Entry 3:
This record from the Alexandria database describes Li2TiCuF at its PBEsol-relaxed geometry. The functional is SCAN.

Structure (POSCAR):
```
Li2TiCuF
1.0
3.607 0.000 0.000
0.000 3.607 0.000
0.000 0.000 5.827
Cu Ti Li F
1 1 2 1
direct
0.000 0.000 0.500
0.500 0.500 0.500
0.000 0.500 0.000
0.500 0.000 0.000
0.000 0.000 0.000
```

Computed properties:
Electronic total energy = -8.560 eV/atom
Uncorrected formation energy = -650 meV/atom
Space-group type = P4/mmm

Entry 4:
This record from the Alexandria database describes PuIn at its PBEsol-relaxed geometry. The functional is SCAN.

Structure (POSCAR):
```
PuIn
1.0
3.080 0.000 0.000
0.000 3.080 0.000
0.000 0.000 4.924
Pu In
1 1
direct
0.500 0.500 0.500
0.000 0.000 0.000
```

Computed properties:
Formation enthalpy at 0 K = -98 meV per atom
Electronic total energy = -71.862 eV/atom
Space-group type = P4/mmm

Entry 5:
This record from the Alexandria database describes Y2ZrRu at its PBEsol-relaxed geometry. The functional is SCAN.

Structure (POSCAR):
```
Y2ZrRu
1.0
3.359 0.000 0.000
0.000 3.359 0.000
0.000 0.000 7.978
Ru Y Zr
1 2 1
direct
0.500 0.500 0.500
0.000 0.000 0.294
0.000 0.000 0.706
0.500 0.500 0.000
```

Computed properties:
Formation enthalpy at 0 K = -129 meV per atom
Electronic total energy = -30.431 eV/atom
Space-group type = P4/mmm

Entry 6:
This record from the Alexandria database describes Be2AgCl at its PBEsol-relaxed geometry. The functional is SCAN.

Structure (POSCAR):
```
Be2AgCl
1.0
-3.918 3.510 -1.390
-1.587 -4.577 2.478
3.428 1.591 3.914
Cl Be Ag
2 4 2
direct
0.500 0.250 0.750
0.000 0.500 0.500
0.477 0.875 0.852
0.523 0.375 0.398
0.023 0.148 0.625
0.977 0.602 0.125
0.500 0.750 0.250
0.000 0.000 0.000
```

Computed properties:
Electronic total energy = -11.737 eV/atom
Uncorrected formation energy = 276 meV/atom
Space-group type = I-42d

Entry 7:
This record from the Alexandria database describes TaCd3Ge at its PBEsol-relaxed geometry. The functional is SCAN.

Structure (POSCAR):
```
TaCd3Ge
1.0
-0.260 -2.971 4.323
-0.724 -4.267 -2.975
5.195 -0.743 -0.199
Cd Ta Ge
3 1 1
direct
0.000 0.500 0.000
0.500 0.000 0.000
0.000 0.000 0.500
0.000 0.000 0.000
0.500 0.500 0.500
```

Computed properties:
Formation enthalpy at 0 K = 1368 meV per atom
Electronic total energy = -34.015 eV/atom
Space-group type = Pm-3m

Entry 8:
This record from the Alexandria database describes LiBe4Ir at its PBEsol-relaxed geometry. The functional is SCAN.

Structure (POSCAR):
```
LiBe4Ir
1.0
-3.572 1.608 1.707
-0.532 -0.004 4.240
0.138 3.676 2.175
Be Li Ir
4 1 1
direct
0.376 0.376 0.872
0.872 0.376 0.376
0.376 0.376 0.376
0.376 0.872 0.376
0.000 0.000 0.000
0.750 0.750 0.750
```

Computed properties:
Formation enthalpy at 0 K = -382 meV per atom
Electronic total energy = -15.533 eV/atom
Space-group type = F-43m

Question: The lowest electronic total energy belongs to which entry?
Answer: PuIn